# 1
A plane-wave DFT calculation with PBE-GGA was carried out for a relaxed structure of Ca2YFe.

Unit cell a=3.571 b=3.581 c=9.931 alpha=68.77 beta=90.00 gamma=90.00
Each line ends with the local moment (μB).
Element x y z (fractional)
Y1 0.500 0.824 0.675  -0.28
Ca1 0.000 0.016 0.985  0.01
Ca2 0.500 0.182 0.318  -0.08
Fe1 0.000 0.478 0.522  2.33

Properties
Distance to the lowest polymorph of the same formula = 0.000 eV/atom
ΔH_f (0 K) = 0.203 eV/atom
SG = No. 6

***

# 2
A plane-wave DFT calculation with PBE-GGA was carried out for a relaxed structure of Ca2YFe.

Unit cell a=8.794 b=8.794 c=8.794 alpha=157.48 beta=151.19 gamma=36.87
Each line ends with the local moment (μB).
Element x y z (fractional)
Ca1 0.913 0.913 0.000  -0.02
Ca2 0.587 0.587 0.000  -0.02
Y1 0.250 0.750 0.500  -0.28
Fe1 0.750 0.250 0.500  2.01

Properties
Distance to the lowest polymorph of the same formula = 0.125 eV/atom
ΔH_f (0 K) = 0.328 eV/atom
SG = No. 71

***

# 3
A plane-wave DFT calculation with PBE-GGA was carried out for a relaxed structure of CaY2Fe.

Unit cell a=3.576 b=3.576 c=8.716 alpha=90.00 beta=90.00 gamma=90.00
Each line ends with the local moment (μB).
Element x y z (fractional)
Fe1 0.500 0.500 0.776  2.37
Ca1 0.000 0.000 0.558  -0.07
Y1 0.500 0.500 0.227  0.31
Y2 0.000 0.000 0.939  -0.19

Properties
Distance to the lowest polymorph of the same formula = 0.147 eV/atom
ΔH_f (0 K) = 0.244 eV/atom
SG = No. 99

***

# 4
A plane-wave DFT calculation with PBE-GGA was carried out for a relaxed structure of CaY2Fe.

Unit cell a=6.048 b=6.348 c=3.392 alpha=77.85 beta=83.16 gamma=116.39
Each line ends with the local moment (μB).
Element x y z (fractional)
Y1 0.000 0.000 0.000  -0.20
Y2 0.500 0.000 0.500  -0.20
Ca1 0.000 0.500 0.500  -0.05
Fe1 0.500 0.500 0.000  2.85

Properties
Distance to the lowest polymorph of the same formula = 0.435 eV/atom
ΔH_f (0 K) = 0.532 eV/atom
SG = No. 12

***

# 5
A plane-wave DFT calculation with PBE-GGA was carried out for a relaxed structure of Ca2YFe.

Unit cell a=4.646 b=4.646 c=5.244 alpha=90.00 beta=90.00 gamma=90.00
Each line ends with the local moment (μB).
Element x y z (fractional)
Fe1 0.500 0.000 0.500  2.76
Ca1 0.000 0.000 0.000  -0.05
Ca2 0.500 0.500 0.000  -0.05
Y1 0.000 0.500 0.500  -0.29

Properties
Distance to the lowest polymorph of the same formula = 0.259 eV/atom
ΔH_f (0 K) = 0.462 eV/atom
SG = No. 123

***

# 6
A plane-wave DFT calculation with PBE-GGA was carried out for a relaxed structure of Ca2YFe.

Unit cell a=5.061 b=3.589 c=6.746 alpha=71.97 beta=90.00 gamma=90.00
Each line ends with the local moment (μB).
Element x y z (fractional)
Y1 0.500 0.750 0.750  -0.14
Ca1 0.000 0.077 0.025  -0.06
Ca2 0.000 0.423 0.475  -0.06
Fe1 0.500 0.250 0.250  2.81

Properties
Distance to the lowest polymorph of the same formula = 0.315 eV/atom
ΔH_f (0 K) = 0.518 eV/atom
SG = No. 10

***

# 7
A plane-wave DFT calculation with PBE-GGA was carried out for a relaxed structure of Ca2YFe.

Unit cell a=5.925 b=6.598 c=3.448 alpha=77.69 beta=83.85 gamma=114.90
Each line ends with the local moment (μB).
Element x y z (fractional)
Fe1 0.000 0.500 0.500  2.93
Y1 0.500 0.500 0.000  -0.21
Ca1 0.000 0.000 0.000  -0.05
Ca2 0.500 0.000 0.500  -0.05

Properties
Distance to the lowest polymorph of the same formula = 0.365 eV/atom
ΔH_f (0 K) = 0.568 eV/atom
SG = No. 12

***

# 8
A plane-wave DFT calculation with PBE-GGA was carried out for a relaxed structure of Ca2YFe.

Unit cell a=11.006 b=11.006 c=11.006 alpha=18.66 beta=18.66 gamma=18.66
Each line ends with the local moment (μB).
Element x y z (fractional)
Fe1 0.250 0.250 0.250  2.79
Ca1 0.984 0.984 0.984  -0.06
Ca2 0.516 0.516 0.516  -0.06
Y1 0.750 0.750 0.750  0.22

Properties
Distance to the lowest polymorph of the same formula = 0.290 eV/atom
ΔH_f (0 K) = 0.493 eV/atom
SG = No. 166

***

# 9
A plane-wave DFT calculation with PBE-GGA was carried out for a relaxed structure of CaY2Fe.

Unit cell a=6.300 b=6.300 c=5.788 alpha=62.63 beta=62.63 gamma=33.09
Each line ends with the local moment (μB).
Element x y z (fractional)
Y1 0.561 0.561 0.439  -0.22
Y2 0.939 0.939 0.061  -0.22
Ca1 0.750 0.750 0.750  -0.04
Fe1 0.250 0.250 0.250  1.58

Properties
Distance to the lowest polymorph of the same formula = 0.107 eV/atom
ΔH_f (0 K) = 0.204 eV/atom
SG = No. 71

***

# 10
A plane-wave DFT calculation with PBE-GGA was carried out for a relaxed structure of Ca2YFe.

Unit cell a=7.343 b=7.343 c=7.333 alpha=59.96 beta=59.96 gamma=90.00
Element x y z (fractional)
Ca1 0.875 0.630 0.750
Ca2 0.380 0.125 0.250
Ca3 0.370 0.625 0.250
Ca4 0.375 0.620 0.750
Fe1 0.250 0.750 0.500
Fe2 0.500 0.500 0.000
Y1 0.000 0.000 0.000
Y2 0.750 0.250 0.500

Properties
Distance to the lowest polymorph of the same formula = 1.048 eV/atom
ΔH_f (0 K) = 1.251 eV/atom
SG = No. 122

***

# 11
A plane-wave DFT calculation with PBE-GGA was carried out for a relaxed structure of CaY4Fe.

Unit cell a=6.469 b=6.469 c=6.469 alpha=60.00 beta=60.00 gamma=60.00
Each line ends with the local moment (μB).
Element x y z (fractional)
Ca1 0.750 0.750 0.750  0.01
Y1 0.374 0.878 0.374  -0.03
Y2 0.374 0.374 0.374  -0.03
Y3 0.374 0.374 0.878  -0.03
Y4 0.878 0.374 0.374  -0.03
Fe1 0.000 0.000 0.000  3.20

Properties
ΔH_f (0 K) = 0.667 eV/atom
SG = No. 216

***

# 12
A plane-wave DFT calculation with PBE-GGA was carried out for a relaxed structure of CaYZnFe2.

Unit cell a=4.725 b=5.108 c=4.725 alpha=90.00 beta=90.00 gamma=90.00
Each line ends with the local moment (μB).
Element x y z (fractional)
Y1 0.500 0.500 0.500  -0.18
Zn1 0.000 0.500 0.000  -0.03
Fe1 0.000 0.000 0.500  2.37
Fe2 0.500 0.000 0.000  2.90
Ca1 0.000 0.000 0.000  -0.15

Properties
ΔH_f (0 K) = 1.124 eV/atom
SG = No. 123

***

# 13
A plane-wave DFT calculation with PBE-GGA was carried out for a relaxed structure of CaZnFe2.

Unit cell a=3.285 b=3.285 c=6.421 alpha=90.00 beta=90.00 gamma=90.00
Each line ends with the local moment (μB).
Element x y z (fractional)
Zn1 0.500 0.500 0.250  -0.09
Ca1 0.500 0.500 0.750  -0.09
Fe1 0.000 0.000 0.077  2.36
Fe2 0.000 0.000 0.423  2.36

Properties
ΔH_f (0 K) = 0.352 eV/atom
SG = No. 123

***

# 14
A plane-wave DFT calculation with PBE-GGA was carried out for a relaxed structure of CaZnFe2.

Unit cell a=4.370 b=4.370 c=9.345 alpha=76.48 beta=76.48 gamma=90.00
Each line ends with the local moment (μB).
Element x y z (fractional)
Zn1 0.000 0.000 0.000  -0.09
Zn2 0.750 0.250 0.500  -0.09
Ca1 0.250 0.750 0.500  -0.07
Ca2 0.500 0.500 0.000  -0.07
Fe1 0.824 0.125 0.250  2.48
Fe2 0.375 0.176 0.750  2.27
Fe3 0.875 0.074 0.750  2.33
Fe4 0.926 0.625 0.250  2.48

Properties
ΔH_f (0 K) = 0.506 eV/atom
SG = No. 122

***

# 15
A plane-wave DFT calculation with PBE-GGA was carried out for a relaxed structure of CaZnFe4.

Unit cell a=5.002 b=5.002 c=5.002 alpha=60.00 beta=60.00 gamma=60.00
Each line ends with the local moment (μB).
Element x y z (fractional)
Fe1 0.375 0.375 0.375  2.35
Fe2 0.375 0.874 0.375  2.35
Fe3 0.874 0.375 0.375  2.35
Fe4 0.375 0.375 0.874  2.35
Zn1 0.750 0.750 0.750  -0.06
Ca1 0.000 0.000 0.000  -0.07

Properties
ΔH_f (0 K) = 0.200 eV/atom
SG = No. 216

***

# 16
A plane-wave DFT calculation with PBE-GGA was carried out for a relaxed structure of Ca3ZnFe.

Unit cell a=5.302 b=5.302 c=5.302 alpha=90.00 beta=90.00 gamma=90.00
Element x y z (fractional)
Ca1 0.000 0.500 0.000
Ca2 0.500 0.000 0.000
Ca3 0.000 0.000 0.500
Zn1 0.500 0.500 0.500
Fe1 0.000 0.000 0.000

Properties
Distance to the lowest polymorph of the same formula = 0.000 eV/atom
ΔH_f (0 K) = 0.460 eV/atom
SG = No. 221

***

# 17
A plane-wave DFT calculation with PBE-GGA was carried out for a relaxed structure of CaZnFe2.

Unit cell a=2.836 b=2.836 c=8.026 alpha=90.00 beta=90.00 gamma=90.00
Each line ends with the local moment (μB).
Element x y z (fractional)
Fe1 0.000 0.000 0.046  2.44
Fe2 0.000 0.000 0.454  2.44
Zn1 0.500 0.500 0.250  -0.07
Ca1 0.500 0.500 0.750  -0.17

Properties
ΔH_f (0 K) = 0.438 eV/atom
SG = No. 123

***

# 18
A plane-wave DFT calculation with PBE-GGA was carried out for a relaxed structure of CaZnFe3.

Unit cell a=4.523 b=4.523 c=4.523 alpha=90.00 beta=90.00 gamma=90.00
Each line ends with the local moment (μB).
Element x y z (fractional)
Fe1 0.000 0.000 0.500  2.32
Fe2 0.000 0.500 0.000  2.42
Fe3 0.500 0.000 0.000  2.58
Ca1 0.000 0.000 0.000  -0.24
Zn1 0.500 0.500 0.500  -0.05

Properties
ΔH_f (0 K) = 1.926 eV/atom
SG = No. 221

***

# 19
A plane-wave DFT calculation with PBE-GGA was carried out for a relaxed structure of CaZnFe2.

Unit cell a=4.532 b=4.532 c=4.532 alpha=60.00 beta=60.00 gamma=60.00
Each line ends with the local moment (μB).
Element x y z (fractional)
Fe1 0.000 0.000 0.000  2.63
Fe2 0.750 0.750 0.750  2.50
Zn1 0.250 0.250 0.250  -0.08
Ca1 0.500 0.500 0.500  -0.08

Properties
ΔH_f (0 K) = 0.388 eV/atom
SG = No. 216

***

# 20
A plane-wave DFT calculation with PBE-GGA was carried out for a relaxed structure of CaZnFe2.

Unit cell a=5.526 b=5.526 c=5.526 alpha=149.16 beta=128.64 gamma=61.12
Each line ends with the local moment (μB).
Element x y z (fractional)
Fe1 0.975 0.975 0.000  2.72
Fe2 0.525 0.525 0.000  2.72
Zn1 0.750 0.250 0.500  -0.06
Ca1 0.250 0.750 0.500  -0.09

Properties
ΔH_f (0 K) = 0.435 eV/atom
SG = No. 71

***

# 21
A plane-wave DFT calculation with PBE-GGA was carried out for a relaxed structure of CaZn3Fe.

Unit cell a=4.636 b=4.636 c=4.636 alpha=90.00 beta=90.00 gamma=90.00
Each line ends with the local moment (μB).
Element x y z (fractional)
Zn1 0.000 0.500 0.000  -0.03
Zn2 0.500 0.000 0.000  -0.05
Zn3 0.000 0.000 0.500  -0.02
Ca1 0.500 0.500 0.500  -0.06
Fe1 0.000 0.000 0.000  1.17

Properties
Distance to the lowest polymorph of the same formula = 0.000 eV/atom
ΔH_f (0 K) = 0.069 eV/atom
SG = No. 221

***

# 22
A plane-wave DFT calculation with PBE-GGA was carried out for a relaxed structure of Ca4ZnFe.

Unit cell a=6.528 b=6.528 c=6.528 alpha=60.00 beta=60.00 gamma=60.00
Each line ends with the local moment (μB).
Element x y z (fractional)
Zn1 0.000 0.000 0.000  -0.01
Fe1 0.750 0.750 0.750  3.18
Ca1 0.376 0.376 0.376  -0.05
Ca2 0.873 0.376 0.376  -0.05
Ca3 0.376 0.873 0.376  -0.05
Ca4 0.376 0.376 0.873  -0.05

Properties
ΔH_f (0 K) = 0.828 eV/atom
SG = No. 216

***

# 23
A plane-wave DFT calculation with PBE-GGA was carried out for a relaxed structure of Ca2ZnFe2.

Unit cell a=5.383 b=5.383 c=5.383 alpha=116.44 beta=116.44 gamma=96.28
Each line ends with the local moment (μB).
Element x y z (fractional)
Ca1 0.750 0.250 0.500  -0.05
Ca2 0.250 0.750 0.500  -0.05
Zn1 0.000 0.000 0.000  -0.01
Fe1 0.646 0.646 0.000  2.45
Fe2 0.354 0.354 0.000  2.45

Properties
ΔH_f (0 K) = 0.488 eV/atom
SG = No. 139

***

# 24
A plane-wave DFT calculation with PBE-GGA was carried out for a relaxed structure of CaZnFe2.

Unit cell a=5.061 b=5.061 c=2.723 alpha=90.00 beta=90.00 gamma=113.38
Each line ends with the local moment (μB).
Element x y z (fractional)
Fe1 0.500 0.500 0.000  2.36
Fe2 0.000 0.000 0.000  2.36
Ca1 0.000 0.500 0.500  -0.16
Zn1 0.500 0.000 0.500  -0.08

Properties
ΔH_f (0 K) = 0.541 eV/atom
SG = No. 65

***

# 25
A plane-wave DFT calculation with PBE-GGA was carried out for a relaxed structure of CaZnFe2.

Unit cell a=4.368 b=4.368 c=5.848 alpha=80.14 beta=80.14 gamma=40.76
Each line ends with the local moment (μB).
Element x y z (fractional)
Fe1 0.023 0.023 0.910  2.46
Fe2 0.746 0.746 0.766  2.37
Ca1 0.250 0.250 0.241  -0.06
Zn1 0.481 0.481 0.583  -0.05

Properties
ΔH_f (0 K) = 0.310 eV/atom
SG = No. 8

***

# 26
A plane-wave DFT calculation with PBE-GGA was carried out for a relaxed structure of CaZnFe2.

Unit cell a=3.201 b=3.124 c=7.543 alpha=65.63 beta=90.00 gamma=90.00
Each line ends with the local moment (μB).
Element x y z (fractional)
Fe1 0.500 0.278 0.221  2.58
Fe2 0.000 0.925 0.074  2.54
Ca1 0.500 0.737 0.763  -0.05
Zn1 0.000 0.559 0.442  -0.03

Properties
ΔH_f (0 K) = 0.175 eV/atom
SG = No. 6

***

# 27
A plane-wave DFT calculation with PBE-GGA was carried out for a relaxed structure of CaZnFe2.

Unit cell a=4.002 b=3.956 c=4.168 alpha=90.00 beta=90.00 gamma=90.00
Each line ends with the local moment (μB).
Element x y z (fractional)
Fe1 0.000 0.000 0.000  2.43
Fe2 0.500 0.500 0.000  2.45
Zn1 0.500 0.000 0.500  -0.09
Ca1 0.000 0.500 0.500  -0.12

Properties
ΔH_f (0 K) = 0.454 eV/atom
SG = No. 47

***

# 28
A plane-wave DFT calculation with PBE-GGA was carried out for a relaxed structure of CaZnFe3.

Unit cell a=4.579 b=4.579 c=4.579 alpha=90.00 beta=90.00 gamma=90.00
Each line ends with the local moment (μB).
Element x y z (fractional)
Fe1 0.000 0.000 0.500  2.90
Fe2 0.500 0.000 0.000  2.53
Fe3 0.000 0.500 0.000  2.93
Zn1 0.000 0.000 0.000  -0.10
Ca1 0.500 0.500 0.500  -0.09

Properties
ΔH_f (0 K) = 0.847 eV/atom
SG = No. 221

***

# 29
A plane-wave DFT calculation with PBE-GGA was carried out for a relaxed structure of CaZnFe2.

Unit cell a=5.174 b=5.337 c=2.720 alpha=78.75 beta=82.93 gamma=116.96
Each line ends with the local moment (μB).
Element x y z (fractional)
Fe1 0.500 0.000 0.500  2.41
Fe2 0.000 0.000 0.000  2.41
Ca1 0.500 0.500 0.000  -0.14
Zn1 0.000 0.500 0.500  -0.07

Properties
ΔH_f (0 K) = 0.516 eV/atom
SG = No. 12